# PBE HfNi11P, optimized geometry
data_HfNi11P
_cell_length_a 4.614
_cell_length_b 11.475
_cell_length_c 6.041
_cell_angle_alpha 90.00
_cell_angle_beta 109.53
_cell_angle_gamma 90.00
_symmetry_space_group_name_H-M 'C 1 2/m 1'
_symmetry_Int_Tables_number 12
loop_
_symmetry_equiv_pos_as_xyz
'x,y,z'
'-x,-y,-z'
'-x,y,-z'
'x,-y,z'
'x+1/2,y+1/2,z'
'-x+1/2,-y+1/2,-z'
'-x+1/2,y+1/2,-z'
'x+1/2,-y+1/2,z'
loop_
_atom_site_label
_atom_site_type_symbol
_atom_site_fract_x
_atom_site_fract_y
_atom_site_fract_z
_atom_site_occupancy
Hf1 Hf 0.000 0.000 0.000 1
Ni1 Ni 0.000 0.000 0.500 1
Ni2 Ni 0.092 0.393 0.221 1
Ni3 Ni 0.159 0.176 0.350 1
Ni4 Ni 0.250 0.250 0.000 1
P1 P 0.000 0.500 0.500 1
# * total DFT energy (no corrections): -6.32 eV/atom
# * D(E_F): 38.54 states/eV per cell
# * M_tot: 3.2 Bohr magnetons per cell
# * formation energy from the elements: -249 meV/atom